## Al2TcSe (GGA-PBE)

Data for Al2TcSe after structural relaxation.

Results
ρ in g/cm3: 6.17
V in Å³ per atom: 15.54
Formation energy (no corrections) in eV/atom: -0.04

Structure (POSCAR):
```
Al2TcSe
1.0
-0.0888 -5.0269 0.1062
1.5241 -4.0404 -2.5771
3.7455 -2.0922 1.4822
Tc Se Al
1 1 2
Cartesian
3.8857 -8.3696 -0.7415
1.2952 -2.7899 -0.2472
1.4356 -9.0667 -2.4704
2.5902 -5.5804 -0.4948
```

## AlTcSe2 (GGA-PBE)

Data for AlTcSe2 after structural relaxation.

Results
ρ in g/cm3: 5.23
V in Å³ per atom: 22.47
Formation energy (no corrections) in eV/atom: 0.00

Structure (POSCAR):
```
AlTcSe2
1.0
-4.1055 -4.0089 -0.2369
1.0491 -1.3978 5.4707
-5.2069 0.9669 4.2601
Tc Se Al
2 4 2
Cartesian
0.0000 0.0000 0.0000
-5.4203 -2.8726 3.3200
-3.7454 -2.4472 1.6002
-1.1504 -1.1244 4.4551
-5.0536 -1.2993 5.1459
-6.5772 -4.0087 7.7863
-1.5282 -2.7033 2.6169
-2.8430 -1.5671 6.1738
```

## Al2TcSe (GGA-PBE)

Data for Al2TcSe after structural relaxation.

Results
ρ in g/cm3: 6.04
V in Å³ per atom: 15.87
Formation energy (no corrections) in eV/atom: 0.13

Structure (POSCAR):
```
Al2TcSe
1.0
-2.9380 3.2209 -2.0513
-4.4932 -1.1352 1.3176
3.9627 0.6452 2.6636
Tc Se Al
1 1 2
Cartesian
-1.3455 2.4545 0.1227
-3.7156 1.0429 -0.3668
0.0000 0.0000 0.0000
-2.1231 0.2765 1.8072
```

## AlTcSe2 (GGA-PBE)

Data for AlTcSe2 after structural relaxation.

Results
ρ in g/cm3: 5.77
V in Å³ per atom: 20.35
Formation energy (no corrections) in eV/atom: 0.36

Structure (POSCAR):
```
AlTcSe2
1.0
-0.5893 2.6443 2.3402
-3.6160 -3.8119 3.3967
2.9050 -1.0483 1.9160
Tc Se Al
1 2 1
Cartesian
1.1579 0.7980 2.1281
0.0000 0.0000 0.0000
-2.1027 -0.5838 2.8684
-0.3555 -2.4301 2.6564
```

## AlTc3Se (GGA-PBE)

Data for AlTc3Se after structural relaxation.

Results
ρ in g/cm3: 7.19
V in Å³ per atom: 18.47
Formation energy (no corrections) in eV/atom: 0.93

Structure (POSCAR):
```
AlTc3Se
1.0
4.5202 0.0000 0.0000
0.0000 4.5202 0.0000
0.0000 0.0000 4.5202
Tc Se Al
3 1 1
Cartesian
0.0000 2.2601 0.0000
0.0000 0.0000 2.2601
2.2601 0.0000 0.0000
0.0000 0.0000 0.0000
2.2601 2.2601 2.2601
```

## Al2TcSe (GGA-PBE)

Data for Al2TcSe after structural relaxation.

Results
ρ in g/cm3: 6.05
V in Å³ per atom: 15.83
Formation energy (no corrections) in eV/atom: 0.11

Structure (POSCAR):
```
Al2TcSe
1.0
-1.8096 2.5192 -1.0528
-1.7307 0.5282 4.2391
3.1219 2.6378 0.9459
Tc Se Al
1 1 2
Cartesian
0.6956 1.5830 2.5925
0.6561 2.5785 -0.0534
0.0000 0.0000 0.0000
-1.7702 1.5237 1.5931
```

## AlTcSe2 (GGA-PBE)

Data for AlTcSe2 after structural relaxation.

Results
ρ in g/cm3: 5.87
V in Å³ per atom: 20.01
Formation energy (no corrections) in eV/atom: 0.10

Structure (POSCAR):
```
AlTcSe2
1.0
3.0483 0.0060 0.0000
-1.2647 2.7735 0.0000
0.0000 0.0000 9.4565
Tc Se Al
1 2 1
Cartesian
0.0000 0.0000 4.8662
0.0000 0.0000 8.8069
0.8918 1.3898 3.0500
0.8918 1.3898 6.9181
```

## Al2TcSe (GGA-PBE)

Data for Al2TcSe after structural relaxation.

Results
ρ in g/cm3: 5.13
V in Å³ per atom: 18.70
Formation energy (no corrections) in eV/atom: -0.07

Structure (POSCAR):
```
Al2TcSe
1.0
-2.3252 -9.6294 0.1203
-0.0330 -9.6997 2.0155
-2.7586 -9.0292 3.0017
Tc Se Al
1 1 2
Cartesian
-3.8327 -21.2417 3.8482
-2.4367 -13.5043 2.4465
-0.0532 -0.2950 0.0534
-1.3526 -7.4964 1.3581
```

## Al2TcSe (GGA-PBE)

Data for Al2TcSe after structural relaxation.

Results
ρ in g/cm3: 6.09
V in Å³ per atom: 15.73
Formation energy (no corrections) in eV/atom: 0.20

Structure (POSCAR):
```
Al2TcSe
1.0
4.4649 0.0000 0.0000
2.2325 3.8667 0.0000
2.2325 1.2889 3.6456
Tc Se Al
1 1 2
Cartesian
6.6974 3.8667 2.7342
4.4649 2.5778 1.8228
0.0000 0.0000 0.0000
2.2325 1.2889 0.9114
```

## AlTcSe2 (GGA-PBE)

Data for AlTcSe2 after structural relaxation.

Results
ρ in g/cm3: 6.50
V in Å³ per atom: 18.07
Formation energy (no corrections) in eV/atom: 0.19

Structure (POSCAR):
```
AlTcSe2
1.0
-2.9683 0.9060 2.8660
2.3946 -0.6356 2.6810
1.8068 4.3689 0.4901
Tc Se Al
1 2 1
Cartesian
-0.4338 1.3863 2.2258
0.1717 -0.0369 0.1895
1.9290 1.9036 1.3960
1.6669 3.2530 3.8113
```

## AlTc2WSe (GGA-PBE)

Data for AlTc2WSe after structural relaxation.

Results
ρ in g/cm3: 7.29
V in Å³ per atom: 22.12
Formation energy (no corrections) in eV/atom: 1.45

Structure (POSCAR):
```
AlTc2WSe
1.0
-1.0474 -1.2268 4.5474
-3.6660 -2.5951 -1.5445
2.8836 -3.8504 -0.3747
Se Tc W Al
1 2 1 1
Cartesian
-1.8330 -1.2976 -0.7723
1.4418 -1.9252 -0.1873
-0.5237 -0.6134 2.2737
0.0000 0.0000 0.0000
-0.9149 -3.8362 1.3141
```

## ZrAlTc2Se (GGA-PBE)

Data for ZrAlTc2Se after structural relaxation.

Results
ρ in g/cm3: 6.46
V in Å³ per atom: 20.22
Formation energy (no corrections) in eV/atom: 0.59

Structure (POSCAR):
```
ZrAlTc2Se
1.0
-2.3680 2.3313 3.1358
0.1551 -3.8273 2.9626
3.9047 1.5492 1.7969
Se Tc Zr Al
1 2 1 1
Cartesian
0.0000 0.0000 0.0000
1.9524 0.7746 0.8985
-1.1840 1.1657 1.5679
0.0776 -1.9137 1.4813
0.8459 0.0266 3.9476
```

## AlTeSe (GGA-PBE)

Data for AlTeSe after structural relaxation.

Results
ρ in g/cm3: 4.10
V in Å³ per atom: 31.54
Formation energy (no corrections) in eV/atom: -0.51

Structure (POSCAR):
```
AlTeSe
1.0
3.7909 0.0000 0.0000
1.8954 3.1309 0.0577
1.8954 1.0911 7.9916
Al Te Se
1 1 1
Cartesian
3.7909 2.6835 4.9352
3.7909 2.6976 7.4962
3.7909 0.5850 3.7131
```

## AlTeSe4 (GGA-PBE)

Data for AlTeSe4 after structural relaxation.

Results
ρ in g/cm3: 5.67
V in Å³ per atom: 22.97
Formation energy (no corrections) in eV/atom: 0.59

Structure (POSCAR):
```
AlTeSe4
1.0
-4.3997 1.8062 3.3163
-2.8073 4.8975 -1.3233
-5.4320 -0.2259 -2.0150
Al Te Se
1 1 4
Cartesian
0.0000 0.0000 0.0000
-9.4793 4.8584 -0.0164
-6.9388 3.3322 1.6482
-7.4545 2.3171 -1.0147
-6.1434 4.8763 -0.6692
-4.7412 2.4300 -0.0082
```

## AlTeSe (GGA-PBE)

Data for AlTeSe after structural relaxation.

Results
ρ in g/cm3: 5.17
V in Å³ per atom: 25.03
Formation energy (no corrections) in eV/atom: 0.06

Structure (POSCAR):
```
AlTeSe
1.0
-2.1734 3.2096 2.7197
-1.3521 -1.1438 4.3915
2.2506 1.8568 3.7295
Te Al Se
1 1 1
Cartesian
-0.6375 1.9613 5.4203
-0.9562 2.9420 8.1305
0.0000 0.0000 0.0000
```